{
  "formula": "ReIrRh2",
  "functional": "GGA-PBE",
  "state": "relaxed",
  "de_polymorph_ev_per_atom": 0.432,
  "delta_e_f_ev_per_atom": 0.324,
  "space_group": "F-43m (216)",
  "cell": [[0.0000, 3.0909, 3.0909], [3.0909, 0.0000, 3.0909], [3.0909, 3.0909, 0.0000]],
  "species": ["Re", "Ir", "Rh", "Rh"],
  "fractional_positions": [[0.0000, 0.0000, 0.0000], [0.2500, 0.2500, 0.2500], [0.5000, 0.5000, 0.5000], [0.7500, 0.7500, 0.7500]]
}